A plane-wave DFT calculation with PBE was carried out for a relaxed GaTcN crystal.

Lattice parameters (Å, degrees): 2.9179 2.9179 15.3457 90.00 90.00 120.00
Fractional coordinates of all 9 atoms:
Ga 0.0000 0.0000 0.5272
Ga 0.3333 0.6667 0.1938
Ga 0.6667 0.3333 0.8605
Tc 0.0000 0.0000 0.0619
Tc 0.3333 0.6667 0.7286
Tc 0.6667 0.3333 0.3953
N 0.0000 0.0000 0.6514
N 0.3333 0.6667 0.3181
N 0.6667 0.3333 0.9847

Values from the calculation:
The crystal system is trigonal. As for the space group: R3m, No. 160.

A plane-wave DFT calculation with PBE was carried out for a relaxed Ga2TcN2 crystal.

Lattice parameters (Å, degrees): 6.6571 6.6571 2.9380 90.00 90.00 90.00
Fractional coordinates of all 10 atoms:
Tc 0.0000 0.0000 0.0000
Tc 0.5000 0.5000 0.0000
Ga 0.3767 0.8767 0.0000
Ga 0.8767 0.6233 0.0000
Ga 0.6233 0.1233 0.0000
Ga 0.1233 0.3767 0.0000
N 0.2423 0.7423 0.5000
N 0.7423 0.7577 0.5000
N 0.7577 0.2577 0.5000
N 0.2577 0.2423 0.5000

Values from the calculation:
The crystal system is tetragonal. As for the space group: P4/mbm, No. 127.

A plane-wave DFT calculation with PBE was carried out for a relaxed GaTc2N2 crystal.

Lattice parameters (Å, degrees): 6.3768 6.3768 2.6580 90.00 90.00 90.00
Fractional coordinates of all 10 atoms:
Tc 0.1615 0.6615 0.5000
Tc 0.6615 0.8385 0.5000
Tc 0.8385 0.3385 0.5000
Tc 0.3385 0.1615 0.5000
Ga 0.0000 0.0000 0.0000
Ga 0.5000 0.5000 0.0000
N 0.3713 0.8713 0.0000
N 0.8713 0.6287 0.0000
N 0.6287 0.1287 0.0000
N 0.1287 0.3713 0.0000

Values from the calculation:
The crystal system is tetragonal. As for the space group: P4/mbm, No. 127.

A plane-wave DFT calculation with PBE was carried out for a relaxed GaTcN crystal.

Lattice parameters (Å, degrees): 5.1125 5.6114 6.0669 90.00 106.82 90.00
Fractional coordinates of all 12 atoms:
Ga 0.7500 0.2451 0.0414
Ga 0.7500 0.7549 0.0414
Ga 0.7500 0.7451 0.5414
Ga 0.7500 0.2549 0.5414
Tc 0.3031 0.0000 0.4959
Tc 0.3031 0.5000 0.9959
Tc 0.2957 0.0000 0.8624
Tc 0.2957 0.5000 0.3624
N 0.0140 0.7541 0.3559
N 0.0140 0.2459 0.3559
N 0.0140 0.2541 0.8559
N 0.0140 0.7459 0.8559

Values from the calculation:
The crystal system is monoclinic. As for the space group: Cm, No. 8.

| no. | ΔE to the lowest computed polymorph (eV per atom) | magnetic moment (μB/atom) | uncorrected energy (eV/atom) |
| --- | --- | --- | --- |
| 1 | 0.021 | 0.000 | -7.4175 |
| 2 | 0.107 | 0.341 | -5.5254 |
| 3 | 0.269 | 0.000 | -7.4038 |
| 4 | 0.085 | 0.000 | -7.3539 |